A plane-wave DFT calculation with GGA-PBE was carried out for a relaxed K2S6I crystal.

Summary:
**Raw formation energy**: -0.445 eV per atom
**Space-group type**: No. 2

abc: 5.979 6.234 9.415
angles: 81.56 111.50 117.84
Element x y z (fractional)
S (0.122, 0.519, 0.748)
S (0.720, 0.181, 0.553)
K (0.590, 0.344, 0.849)
K (0.410, 0.656, 0.151)
S (0.280, 0.819, 0.447)
S (0.860, 0.188, 0.386)
S (0.140, 0.812, 0.614)
S (0.878, 0.481, 0.252)
I (0.000, 0.000, 0.000)